No. 1
Material: UFeCo
Method: DFT, GGA-PBE
State: optimized geometry

Geometry as POSCAR:
```
UFeCo
1.0
3.477 0.000 0.000
-1.738 3.011 0.000
0.000 0.000 4.287
Fe U Co
1 1 1
direct
0.333 0.667 0.683
0.667 0.333 0.345
0.000 0.000 0.972
```

Output
As for the crystal system: trigonal. The calculation puts the energy relative to the lowest polymorph listed for this composition at 0.302 eV per atom. The value obtained for the total energy is -8.832 eV/atom. As for the size of the total moment: 0.00 μB/f.u. The space group is No. 156.

=====

No. 2
Material: NaAcAgSn2
Method: DFT, GGA-PBE
State: optimized geometry

Geometry as POSCAR:
```
NaAcAgSn2
1.0
-1.710 3.882 5.144
-5.948 -0.148 -1.866
-1.050 -5.478 3.785
Sn Ac Na Ag
4 2 2 2
direct
0.241 0.750 0.275
0.241 0.750 0.725
0.759 0.250 0.275
0.759 0.250 0.725
0.248 0.250 0.500
0.752 0.750 0.500
0.610 0.750 0.000
0.390 0.250 0.000
0.000 0.500 0.000
0.000 0.000 0.000
```

Output
As for the crystal system: orthorhombic. The value obtained for the total energy is -3.579 eV/atom. As for the size of the total moment: 0.00 μB/f.u. The space group is No. 51.

=====

No. 3
Material: BaRh2Cl
Method: DFT, GGA-PBE
State: optimized geometry

Geometry as POSCAR:
```
BaRh2Cl
1.0
-5.326 -1.997 0.658
0.405 -2.113 -3.139
1.590 -3.418 2.501
Rh Cl Ba
2 1 1
direct
0.000 0.891 0.001
0.000 0.609 0.499
0.500 0.750 0.750
0.500 0.250 0.250
```

Output
As for the crystal system: monoclinic. The calculation puts the energy relative to the lowest polymorph listed for this composition at 0.243 eV per atom. Its uncorrected formation energy is -27 kJ/mol of formula units. The value obtained for the total energy is -4.689 eV/atom. As for the size of the total moment: 1.81 μB/f.u. The space group is No. 10.

=====

> Among the records above, which one has the highest total energy?

NaAcAgSn2